(1)
First-principles (PBE) data for a relaxed PrSm6Y12 crystal, as listed in the Alexandria database.

abc: 15.6710 15.6710 8.8084
angles: 90.00 90.00 120.00
Space group R-3 (No. 148, hexagonal axes)
Asymmetric unit:
Pr: 0.0000 0.0000 0.0000 [3 per cell]
Sm: 0.0355 0.2807 0.3332 [18 per cell]
Y: 0.0174 0.1405 0.6660 [18 per cell]
Y: 0.0699 0.5612 0.6674 [18 per cell]

Summary:
VASP energy: -5.807 eV/atom
Energy relative to the lowest polymorph listed for this composition: 0 meV per atom

(2)
First-principles (PBE) data for a relaxed Pr5Sm2Y4 crystal, as listed in the Alexandria database.

abc: 3.5778 9.2889 23.7916
angles: 90.00 90.00 90.00
Space group Immm (No. 71)
Asymmetric unit:
Pr: 0.0000 0.0000 0.0000 [2 per cell]
Pr: 0.0000 0.3003 0.3541 [8 per cell]
Sm: 0.0000 0.5000 0.2317 [4 per cell]
Y: 0.0000 0.1867 0.5000 [4 per cell]
Y: 0.0000 0.5000 0.0973 [4 per cell]

Summary:
VASP energy: -5.190 eV/atom
Energy relative to the lowest polymorph listed for this composition: 174 meV per atom

(3)
First-principles (PBE) data for a relaxed Pr7Sm2Y crystal, as listed in the Alexandria database.

abc: 8.8797 16.8936 5.6337
angles: 90.00 90.00 90.00
Space group Cmmm (No. 65)
Asymmetric unit:
Pr: 0.0000 0.0000 0.0000 [2 per cell]
Pr: 0.0000 0.2810 0.5000 [4 per cell]
Pr: 0.1804 0.3881 0.0000 [8 per cell]
Sm: 0.0000 0.2049 0.0000 [4 per cell]
Y: 0.0000 0.5000 0.5000 [2 per cell]

Summary:
VASP energy: -4.325 eV/atom
Energy relative to the lowest polymorph listed for this composition: 0 meV per atom

(4)
First-principles (PBE) data for a relaxed Pr7SmY3 crystal, as listed in the Alexandria database.

abc: 11.9056 10.3273 6.5172
angles: 90.00 95.80 90.00
Space group C2/m (No. 12)
Asymmetric unit:
Pr: 0.0000 0.0000 0.0000 [2 per cell]
Pr: 0.2374 0.5000 0.2150 [4 per cell]
Pr: 0.2505 0.1744 0.2605 [8 per cell]
Sm: 0.0000 0.0000 0.5000 [2 per cell]
Y: 0.0000 0.3313 0.0000 [4 per cell]
Y: 0.0000 0.5000 0.5000 [2 per cell]

Summary:
VASP energy: -5.010 eV/atom
Energy relative to the lowest polymorph listed for this composition: 44 meV per atom

(5)
First-principles (PBE) data for a relaxed Pr4Sm2Y7 crystal, as listed in the Alexandria database.

abc: 6.2769 8.1069 9.5762
angles: 65.02 83.63 82.52
Space group P-1 (No. 2)
Asymmetric unit:
Pr: 0.0770 0.3468 0.1908 [2 per cell]
Pr: 0.2308 0.0392 0.5777 [2 per cell]
Sm: 0.3085 0.8828 0.2692 [2 per cell]
Y: 0.0000 0.5000 0.5000 [1 per cell]
Y: 0.1532 0.1916 0.8848 [2 per cell]
Y: 0.3855 0.7312 0.9633 [2 per cell]
Y: 0.4617 0.5743 0.6547 [2 per cell]

Summary:
VASP energy: -5.662 eV/atom

(6)
First-principles (PBE) data for a relaxed PrSm4Y10 crystal, as listed in the Alexandria database.

abc: 12.9559 12.9559 6.5528
angles: 90.00 90.00 90.00
Space group I4/m (No. 87)
Asymmetric unit:
Pr: 0.0000 0.0000 0.0000 [2 per cell]
Sm: 0.0669 0.1717 0.5000 [8 per cell]
Y: 0.0000 0.5000 0.2500 [4 per cell]
Y: 0.1293 0.7069 0.2494 [16 per cell]

Summary:
VASP energy: -5.327 eV/atom

(7)
First-principles (PBE) data for a relaxed Pr7Sm3Y crystal, as listed in the Alexandria database.

abc: 6.0159 11.4818 11.5518
angles: 90.00 90.00 90.00
Space group Immm (No. 71)
Asymmetric unit:
Pr: 0.0000 0.0000 0.0000 [2 per cell]
Pr: 0.0000 0.2064 0.3038 [8 per cell]
Pr: 0.0000 0.5000 0.2089 [4 per cell]
Sm: 0.0000 0.0000 0.5000 [2 per cell]
Sm: 0.0000 0.2933 0.0000 [4 per cell]
Y: 0.0000 0.5000 0.5000 [2 per cell]

Summary:
VASP energy: -4.697 eV/atom
Energy relative to the lowest polymorph listed for this composition: 41 meV per atom

(8)
First-principles (PBE) data for a relaxed Pr3Sm3Y crystal, as listed in the Alexandria database.

abc: 8.8068 8.8068 22.3556
angles: 90.00 90.00 120.00
Space group R-3 (No. 148, hexagonal axes)
Asymmetric unit:
Pr: 0.0033 0.2403 0.0590 [18 per cell]
Sm: 0.0515 0.4495 0.8802 [18 per cell]
Y: 0.0000 0.0000 0.3458 [6 per cell]

Summary:
VASP energy: -4.771 eV/atom
Energy relative to the lowest polymorph listed for this composition: 198 meV per atom

(9)
First-principles (PBE) data for a relaxed Pr8Sm2Y crystal, as listed in the Alexandria database.

abc: 17.0373 6.9240 6.8215
angles: 90.00 100.70 90.00
Space group C2/m (No. 12)
Asymmetric unit:
Pr: 0.0867 0.2374 0.4063 [8 per cell]
Pr: 0.0934 0.0000 0.9163 [4 per cell]
Pr: 0.2436 0.5000 0.3181 [4 per cell]
Sm: 0.1957 0.5000 0.8083 [4 per cell]
Y: 0.0000 0.5000 0.0000 [2 per cell]

Summary:
VASP energy: -4.769 eV/atom
Energy relative to the lowest polymorph listed for this composition: 140 meV per atom

(10)
First-principles (PBE) data for a relaxed PrSm2Y5 crystal, as listed in the Alexandria database.

abc: 7.2104 14.4321 5.0842
angles: 90.00 90.00 90.00
Space group Pbam (No. 55)
Asymmetric unit:
Pr: 0.0000 0.0000 0.0000 [2 per cell]
Sm: 0.2486 0.3745 0.5000 [4 per cell]
Y: 0.0000 0.5000 0.0000 [2 per cell]
Y: 0.0013 0.7493 0.0000 [4 per cell]
Y: 0.2489 0.1256 0.5000 [4 per cell]

Summary:
VASP energy: -5.800 eV/atom
Energy relative to the lowest polymorph listed for this composition: 0 meV per atom

(11)
First-principles (PBE) data for a relaxed Pr5Sm2Y12 crystal, as listed in the Alexandria database.

abc: 12.3677 7.2113 15.1693
angles: 90.00 107.38 90.00
Space group C2/m (No. 12)
Asymmetric unit:
Pr: 0.0000 0.0000 0.0000 [2 per cell]
Pr: 0.0959 0.5000 0.0952 [4 per cell]
Pr: 0.2489 0.5000 0.4997 [4 per cell]
Sm: 0.0000 0.2496 0.5000 [4 per cell]
Y: 0.0904 0.2450 0.2874 [8 per cell]
Y: 0.1507 0.5000 0.6918 [4 per cell]
Y: 0.1558 0.0000 0.6963 [4 per cell]
Y: 0.1707 0.2611 0.8908 [8 per cell]

Summary:
VASP energy: -5.730 eV/atom
Energy relative to the lowest polymorph listed for this composition: 0 meV per atom

(12)
First-principles (PBE) data for a relaxed PrSm3Y6 crystal, as listed in the Alexandria database.

abc: 11.0759 19.0270 6.3740
angles: 90.00 90.00 90.00
Space group Cmc2_1 (No. 36)
Asymmetric unit:
Pr: 0.0000 0.1992 0.0000 [4 per cell]
Sm: 0.0000 0.3890 0.9244 [4 per cell]
Sm: 0.1762 0.1120 0.3127 [8 per cell]
Y: 0.0000 0.0431 0.7366 [4 per cell]
Y: 0.0000 0.2747 0.5097 [4 per cell]
Y: 0.1654 0.4549 0.3968 [8 per cell]
Y: 0.2422 0.2914 0.2236 [8 per cell]

Summary:
VASP energy: -5.629 eV/atom
Energy relative to the lowest polymorph listed for this composition: 0 meV per atom